*w*
{
  "formula": "HoInAgPb",
  "functional": "PBE-GGA",
  "state": "relaxed",
  "density_g_cm3": 10.2,
  "space_group": "Pmmm, No. 47",
  "cell": [[-3.631, 2.500, -0.817], [-0.629, -2.188, -3.898], [-2.739, -3.238, 2.261]],
  "species": ["Ho", "In", "Ag", "Pb"],
  "fractional_positions": [[0.500, 0.000, 0.500], [0.000, 0.000, 0.000], [0.500, 0.500, 0.000], [0.000, 0.500, 0.500]]
}


*x*
{
  "formula": "HoInAgPb",
  "functional": "PBE-GGA",
  "state": "relaxed",
  "density_g_cm3": 9.9,
  "space_group": "F-43m, No. 216",
  "cell": [[-0.964, 3.777, 3.441], [-2.171, -1.150, 4.583], [2.811, 0.323, 4.362]],
  "species": ["Ag", "Pb", "In", "Ho"],
  "fractional_positions": [[0.250, 0.250, 0.250], [0.000, 0.000, 0.000], [0.500, 0.500, 0.500], [0.750, 0.750, 0.750]]
}


The calculated energies rank the structures as follows, beginning with the most stable: *w*, *x*.


*w*
{
  "formula": "PrHoInAg",
  "functional": "PBE-GGA",
  "state": "relaxed",
  "density_g_cm3": 8.2,
  "space_group": "P4mm, No. 99",
  "cell": [[3.675, 0.000, 0.000], [0.000, 3.675, 0.000], [0.000, 0.000, 7.902]],
  "species": ["Ho", "In", "Pr", "Ag"],
  "fractional_positions": [[0.000, 0.000, 0.375], [0.500, 0.500, 0.123], [0.000, 0.000, 0.850], [0.500, 0.500, 0.580]]
}


*x*
{
  "formula": "PrHoInAg",
  "functional": "PBE-GGA",
  "state": "relaxed",
  "density_g_cm3": 8.1,
  "space_group": "F-43m, No. 216",
  "cell": [[5.350, 0.000, 0.000], [2.675, 4.633, 0.000], [2.675, 1.544, 4.368]],
  "species": ["Pr", "In", "Ag", "Ho"],
  "fractional_positions": [[0.500, 0.500, 0.500], [0.750, 0.750, 0.750], [0.250, 0.250, 0.250], [0.000, 0.000, 0.000]]
}


The calculated energies rank the structures as follows, beginning with the most stable: *w*, *x*.


*w*
{
  "formula": "Ho3AgIr2",
  "functional": "PBE-GGA",
  "state": "relaxed",
  "density_g_cm3": 13.0,
  "space_group": "Cmmm, No. 65",
  "cell": [[-1.548, 3.108, 0.162], [-1.769, -0.643, -4.568], [-5.123, -2.816, 5.052]],
  "species": ["Ho", "Ir", "Ir", "Ho", "Ho", "Ag"],
  "fractional_positions": [[0.500, 0.175, 0.350], [0.000, 0.336, 0.673], [0.000, 0.664, 0.327], [0.500, 0.500, 0.000], [0.500, 0.825, 0.650], [0.000, 0.000, 0.000]]
}


*x*
{
  "formula": "Ho3AgIr2",
  "functional": "PBE-GGA",
  "state": "relaxed",
  "density_g_cm3": 12.8,
  "space_group": "P4/mmm, No. 123",
  "cell": [[3.434, 0.000, 0.000], [0.000, 3.434, 0.000], [0.000, 0.000, 10.852]],
  "species": ["Ho", "Ho", "Ho", "Ir", "Ir", "Ag"],
  "fractional_positions": [[0.000, 0.000, 0.309], [0.000, 0.000, 0.691], [0.000, 0.000, 0.000], [0.500, 0.500, 0.162], [0.500, 0.500, 0.838], [0.500, 0.500, 0.500]]
}


The calculated energies rank the structures as follows, beginning with the most stable: *x*, *w*.


*w*
{
  "formula": "Ho4AgIr2",
  "functional": "PBE-GGA",
  "state": "relaxed",
  "density_g_cm3": 11.8,
  "space_group": "R-3m, No. 166",
  "cell": [[4.651, 0.000, 1.453], [2.098, 4.151, 1.453], [-0.069, -0.042, 8.389]],
  "species": ["Ir", "Ho", "Ho", "Ir", "Ho", "Ho", "Ag"],
  "fractional_positions": [[0.251, 0.251, 0.247], [0.128, 0.128, 0.615], [0.380, 0.380, 0.861], [0.749, 0.749, 0.753], [0.872, 0.872, 0.385], [0.620, 0.620, 0.139], [0.000, 0.000, 0.000]]
}


*x*
{
  "formula": "Ho4AgIr2",
  "functional": "PBE-GGA",
  "state": "relaxed",
  "density_g_cm3": 11.6,
  "space_group": "P1, No. 1",
  "cell": [[-5.353, -5.155, -1.901], [7.058, -2.822, -0.937], [-0.912, 1.965, 7.086]],
  "species": ["Ir", "Ir", "Ir", "Ho", "Ho", "Ag", "Ho", "Ho", "Ho", "Ho", "Ir", "Ag", "Ho", "Ho"],
  "fractional_positions": [[0.757, 0.882, 0.388], [0.496, 0.371, 0.615], [0.620, 0.245, 0.114], [0.985, 0.249, 0.381], [0.749, 0.150, 0.758], [0.005, 0.006, 0.998], [0.869, 0.602, 0.619], [0.852, 0.619, 0.119], [0.241, 0.140, 0.742], [0.390, 0.991, 0.241], [0.132, 0.506, 0.886], [0.255, 0.755, 0.498], [0.499, 0.735, 0.881], [0.400, 0.499, 0.259]]
}


The calculated energies rank the structures as follows, beginning with the most stable: *w*, *x*.


*w*
{
  "formula": "Ho3Ag2Ir",
  "functional": "PBE-GGA",
  "state": "relaxed",
  "density_g_cm3": 9.8,
  "space_group": "C2/c, No. 15",
  "cell": [[-1.337, -3.609, -4.280], [-4.918, -4.025, 4.930], [-3.104, 6.749, -0.851]],
  "species": ["Ho", "Ho", "Ir", "Ag", "Ho", "Ag", "Ho", "Ho", "Ag", "Ag", "Ir", "Ho"],
  "fractional_positions": [[0.142, 0.569, 0.279], [0.863, 0.931, 0.721], [0.999, 0.750, 0.000], [0.686, 0.592, 0.366], [0.499, 0.750, 0.000], [0.680, 0.092, 0.366], [0.501, 0.250, 0.000], [0.137, 0.069, 0.279], [0.320, 0.908, 0.634], [0.314, 0.408, 0.634], [0.001, 0.250, 0.000], [0.858, 0.431, 0.721]]
}


*x*
{
  "formula": "Ho3Ag2Ir",
  "functional": "PBE-GGA",
  "state": "relaxed",
  "density_g_cm3": 11.3,
  "space_group": "P-3m1, No. 164",
  "cell": [[4.987, 0.000, 0.000], [-2.494, 4.319, 0.000], [0.000, 0.000, 6.175]],
  "species": ["Ho", "Ag", "Ag", "Ho", "Ho", "Ir"],
  "fractional_positions": [[0.333, 0.667, 0.146], [0.667, 0.333, 0.352], [0.333, 0.667, 0.648], [0.000, 0.000, 0.500], [0.667, 0.333, 0.854], [0.000, 0.000, 0.000]]
}


The calculated energies rank the structures as follows, beginning with the most stable: *x*, *w*.


*w*
{
  "formula": "Ho8Ag2Ir",
  "functional": "PBE-GGA",
  "state": "relaxed",
  "density_g_cm3": 9.8,
  "space_group": "C2/m, No. 12",
  "cell": [[-4.649, 2.169, -0.651], [0.379, -1.190, -6.672], [-1.433, -8.031, 4.011]],
  "species": ["Ho", "Ir", "Ag", "Ho", "Ho", "Ho", "Ho", "Ho", "Ag", "Ho", "Ho"],
  "fractional_positions": [[0.340, 0.029, 0.680], [0.500, 0.000, 0.000], [0.183, 0.718, 0.366], [0.660, 0.971, 0.320], [0.027, 0.791, 0.055], [0.410, 0.568, 0.820], [0.201, 0.312, 0.402], [0.973, 0.209, 0.945], [0.817, 0.282, 0.634], [0.799, 0.688, 0.598], [0.590, 0.432, 0.180]]
}


*x*
{
  "formula": "Ho8Ag2Ir",
  "functional": "PBE-GGA",
  "state": "relaxed",
  "density_g_cm3": 9.4,
  "space_group": "Cm, No. 8",
  "cell": [[5.905, -0.332, -1.251], [-2.604, 7.097, -4.463], [-0.317, -1.544, 8.636]],
  "species": ["Ho", "Ho", "Ir", "Ho", "Ho", "Ho", "Ho", "Ag", "Ho", "Ho", "Ag"],
  "fractional_positions": [[0.130, 0.277, 0.277], [0.287, 0.843, 0.614], [0.281, 0.005, 0.005], [0.651, 0.387, 0.152], [0.987, 0.199, 0.813], [0.763, 0.725, 0.725], [0.287, 0.614, 0.843], [0.489, 0.727, 0.292], [0.987, 0.813, 0.199], [0.651, 0.152, 0.387], [0.489, 0.292, 0.727]]
}


The calculated energies rank the structures as follows, beginning with the most stable: *w*, *x*.


*w*
{
  "formula": "Ho2AgIr",
  "functional": "PBE-GGA",
  "state": "relaxed",
  "density_g_cm3": 11.9,
  "space_group": "P4/mmm, No. 123",
  "cell": [[3.471, 0.000, 0.000], [0.000, 3.471, 0.000], [0.000, 0.000, 7.302]],
  "species": ["Ho", "Ag", "Ir", "Ho"],
  "fractional_positions": [[0.000, 0.000, 0.224], [0.500, 0.500, 0.500], [0.500, 0.500, 0.000], [0.000, 0.000, 0.776]]
}


*x*
{
  "formula": "Ho2AgIr",
  "functional": "PBE-GGA",
  "state": "relaxed",
  "density_g_cm3": 8.4,
  "space_group": "R-3m, No. 166",
  "cell": [[4.004, 0.000, 0.000], [2.002, 3.467, 0.000], [2.002, 1.156, 8.925]],
  "species": ["Ir", "Ho", "Ho", "Ag"],
  "fractional_positions": [[0.500, 0.500, 0.500], [0.888, 0.888, 0.337], [0.112, 0.112, 0.663], [0.000, 0.000, 0.000]]
}


The calculated energies rank the structures as follows, beginning with the most stable: *w*, *x*.


*w*
{
  "formula": "Ho2AgIr",
  "functional": "PBE-GGA",
  "state": "relaxed",
  "density_g_cm3": 12.2,
  "space_group": "Fm-3m, No. 225",
  "cell": [[-4.014, 2.537, -1.398], [-3.417, -2.153, -2.863], [-4.434, -1.151, 1.877]],
  "species": ["Ir", "Ho", "Ho", "Ag"],
  "fractional_positions": [[0.500, 0.500, 0.500], [0.750, 0.750, 0.750], [0.250, 0.250, 0.250], [0.000, 0.000, 0.000]]
}


*x*
{
  "formula": "Ho2AgIr",
  "functional": "PBE-GGA",
  "state": "relaxed",
  "density_g_cm3": 12.0,
  "space_group": "Pmma, No. 51",
  "cell": [[3.533, 0.000, 0.000], [0.000, 5.005, 0.000], [0.000, 0.000, 9.855]],
  "species": ["Ir", "Ag", "Ho", "Ho", "Ag", "Ho", "Ir", "Ho"],
  "fractional_positions": [[0.500, 0.750, 0.125], [0.500, 0.750, 0.622], [0.000, 0.250, 0.647], [0.000, 0.750, 0.888], [0.500, 0.250, 0.378], [0.000, 0.250, 0.112], [0.500, 0.250, 0.875], [0.000, 0.750, 0.353]]
}


The calculated energies rank the structures as follows, beginning with the most stable: *x*, *w*.


*w*
{
  "formula": "LaHo2Ag",
  "functional": "PBE-GGA",
  "state": "relaxed",
  "density_g_cm3": 8.4,
  "space_group": "P4/mmm, No. 123",
  "cell": [[4.964, 0.000, 0.000], [0.000, 4.803, 0.000], [0.000, 0.000, 4.803]],
  "species": ["Ag", "Ho", "Ho", "La"],
  "fractional_positions": [[0.500, 0.500, 0.500], [0.000, 0.000, 0.500], [0.000, 0.500, 0.000], [0.500, 0.000, 0.000]]
}


*x*
{
  "formula": "LaHo2Ag",
  "functional": "PBE-GGA",
  "state": "relaxed",
  "density_g_cm3": 8.1,
  "space_group": "R-3m, No. 166",
  "cell": [[3.435, 0.000, 0.000], [1.718, 2.975, 0.000], [1.718, 0.992, 11.535]],
  "species": ["Ag", "Ho", "La", "Ho"],
  "fractional_positions": [[0.500, 0.500, 0.500], [0.902, 0.902, 0.295], [0.000, 0.000, 0.000], [0.098, 0.098, 0.705]]
}


The calculated energies rank the structures as follows, beginning with the most stable: *w*, *x*.


*w*
{
  "formula": "LaHo2Ag",
  "functional": "PBE-GGA",
  "state": "relaxed",
  "density_g_cm3": 8.3,
  "space_group": "P4/mmm, No. 123",
  "cell": [[3.647, 0.000, 0.000], [0.000, 3.647, 0.000], [0.000, 0.000, 8.706]],
  "species": ["La", "Ho", "Ho", "Ag"],
  "fractional_positions": [[0.500, 0.500, 0.500], [0.000, 0.000, 0.797], [0.000, 0.000, 0.203], [0.500, 0.500, 0.000]]
}


*x*
{
  "formula": "LaHo2Ag",
  "functional": "PBE-GGA",
  "state": "relaxed",
  "density_g_cm3": 8.0,
  "space_group": "R3m, No. 160",
  "cell": [[-1.167, -3.292, -0.979], [2.344, -2.759, -0.224], [-1.419, -4.370, 9.688]],
  "species": ["Ho", "Ho", "Ag", "La"],
  "fractional_positions": [[0.262, 0.262, 0.213], [0.071, 0.071, 0.787], [0.666, 0.666, 0.001], [0.500, 0.500, 0.500]]
}


The calculated energies rank the structures as follows, beginning with the most stable: *w*, *x*.


*w*
{
  "formula": "LaHoAg",
  "functional": "PBE-GGA",
  "state": "relaxed",
  "density_g_cm3": 7.3,
  "cell": [[7.199, 0.533, -0.006], [0.313, 7.212, 0.006], [-3.754, -3.875, 7.276]],
  "species": ["Ho", "Ag", "Ho", "Ag", "Ho", "Ho", "La", "La", "La", "Ag", "La", "Ag"],
  "fractional_positions": [[0.660, 0.585, 0.245], [0.306, 0.231, 0.000], [0.910, 0.335, 0.745], [0.769, 0.694, 0.000], [0.665, 0.090, 0.255], [0.415, 0.340, 0.755], [0.926, 0.851, 0.776], [0.175, 0.600, 0.276], [0.150, 0.075, 0.224], [0.556, 0.981, 0.500], [0.399, 0.824, 0.724], [0.019, 0.444, 0.500]]
}


*x*
{
  "formula": "LaHoAg",
  "functional": "PBE-GGA",
  "state": "relaxed",
  "density_g_cm3": 7.6,
  "space_group": "P4/nmm, No. 129",
  "cell": [[-2.389, -4.221, 0.668], [1.812, -1.694, -4.221], [5.952, -2.787, 3.674]],
  "species": ["La", "Ho", "La", "Ho", "Ag", "Ag"],
  "fractional_positions": [[0.500, 0.000, 0.123], [0.000, 0.000, 0.500], [0.000, 0.500, 0.877], [0.500, 0.500, 0.500], [0.500, 0.000, 0.728], [0.000, 0.500, 0.272]]
}


*y*
{
  "formula": "LaHoAg",
  "functional": "PBE-GGA",
  "state": "relaxed",
  "density_g_cm3": 7.9,
  "space_group": "I4mm, No. 107",
  "cell": [[3.671, 0.000, 0.000], [0.000, 3.671, 0.000], [-1.835, -1.835, 6.454]],
  "species": ["Ag", "Ho", "La"],
  "fractional_positions": [[0.680, 0.680, 0.360], [0.308, 0.308, 0.615], [0.012, 0.012, 0.024]]
}


The calculated energies rank the structures as follows, beginning with the most stable: *y*, *x*, *w*.


*w*
{
  "formula": "LaHoAg4",
  "functional": "PBE-GGA",
  "state": "relaxed",
  "density_g_cm3": 8.8,
  "space_group": "Cmmm, No. 65",
  "cell": [[-0.652, -3.749, -3.824], [-2.912, -2.986, 3.428], [-5.415, 0.687, 0.251]],
  "species": ["La", "Ag", "Ag", "Ho", "Ag", "Ag"],
  "fractional_positions": [[0.001, 0.502, 0.495], [0.001, 0.834, 0.831], [0.001, 0.170, 0.160], [0.501, 0.002, 0.495], [0.501, 0.324, 0.852], [0.501, 0.680, 0.139]]
}


*x*
{
  "formula": "LaHoAg4",
  "functional": "PBE-GGA",
  "state": "relaxed",
  "density_g_cm3": 8.6,
  "space_group": "P6/mmm, No. 191",
  "cell": [[4.656, 1.141, -0.019], [1.339, 4.604, -0.023], [0.021, 0.030, 7.140]],
  "species": ["Ag", "Ag", "Ag", "Ag", "Ho", "La"],
  "fractional_positions": [[0.085, 0.580, 0.275], [0.418, 0.914, 0.275], [0.085, 0.580, 0.721], [0.418, 0.914, 0.721], [0.751, 0.247, 0.498], [0.751, 0.247, 0.998]]
}


*y*
{
  "formula": "LaHoAg4",
  "functional": "PBE-GGA",
  "state": "relaxed",
  "density_g_cm3": 9.0,
  "space_group": "F-43m, No. 216",
  "cell": [[5.777, 0.000, 0.000], [2.888, 5.003, 0.000], [2.888, 1.668, 4.717]],
  "species": ["Ag", "Ag", "Ag", "Ho", "Ag", "La"],
  "fractional_positions": [[0.624, 0.624, 0.127], [0.624, 0.624, 0.624], [0.127, 0.624, 0.624], [0.250, 0.250, 0.250], [0.624, 0.127, 0.624], [0.000, 0.000, 0.000]]
}


The calculated energies rank the structures as follows, beginning with the most stable: *x*, *w*, *y*.